Record 1
Here is a relaxed structure of CsV2CdO6 from the Alexandria database. Energies are from PBE+U. Values from VASP.

Quantum ESPRESSO input file:
```
&SYSTEM
  ibrav = 0, nat = 20, ntyp = 4
/
ATOMIC_SPECIES
Cs 132.91 Cs.upf
V 50.94 V.upf
Cd 112.41 Cd.upf
O 16.00 O.upf
CELL_PARAMETERS angstrom
5.523 -5.207 0.000
5.523 5.207 0.000
-1.426 0.000 5.810
ATOMIC_POSITIONS crystal
Cs 0.188 0.812 0.750
Cs 0.812 0.188 0.250
V 0.136 0.310 0.818
V 0.310 0.136 0.318
V 0.690 0.864 0.682
V 0.864 0.690 0.182
Cd 0.399 0.601 0.250
Cd 0.601 0.399 0.750
O 0.082 0.612 0.239
O 0.164 0.176 0.051
O 0.176 0.164 0.551
O 0.313 0.459 0.882
O 0.388 0.918 0.261
O 0.459 0.313 0.382
O 0.541 0.687 0.618
O 0.612 0.082 0.739
O 0.687 0.541 0.118
O 0.824 0.836 0.449
O 0.836 0.824 0.949
O 0.918 0.388 0.761
```

**Space-group type**: C2/c

Record 2
Here is a relaxed structure of Cs3V2CdO8 from the Alexandria database. Energies are from PBE+U. Values from VASP.

Quantum ESPRESSO input file:
```
&SYSTEM
  ibrav = 0, nat = 14, ntyp = 4
/
ATOMIC_SPECIES
Cs 132.91 Cs.upf
V 50.94 V.upf
Cd 112.41 Cd.upf
O 16.00 O.upf
CELL_PARAMETERS angstrom
6.233 0.000 0.000
-3.116 5.398 0.000
0.000 0.000 8.324
ATOMIC_POSITIONS crystal
Cs 0.000 0.000 0.000
Cs 0.333 0.667 0.709
Cs 0.667 0.333 0.291
V 0.333 0.667 0.273
V 0.667 0.333 0.727
Cd 0.000 0.000 0.500
O 0.179 0.357 0.338
O 0.179 0.821 0.338
O 0.333 0.667 0.067
O 0.357 0.179 0.662
O 0.643 0.821 0.338
O 0.667 0.333 0.933
O 0.821 0.179 0.662
O 0.821 0.643 0.662
```

**Space-group type**: P-3m1

Record 3
Here is a relaxed structure of CsVCdO4 from the Alexandria database. Energies are from PBE+U. Values from VASP.

Quantum ESPRESSO input file:
```
&SYSTEM
  ibrav = 0, nat = 14, ntyp = 4
/
ATOMIC_SPECIES
Cs 132.91 Cs.upf
V 50.94 V.upf
Cd 112.41 Cd.upf
O 16.00 O.upf
CELL_PARAMETERS angstrom
5.472 0.000 0.000
0.000 6.256 0.000
-2.123 0.000 8.000
ATOMIC_POSITIONS crystal
Cs 0.206 0.250 0.123
Cs 0.794 0.750 0.877
V 0.355 0.250 0.694
V 0.645 0.750 0.306
Cd 0.159 0.750 0.511
Cd 0.841 0.250 0.489
O 0.148 0.026 0.686
O 0.148 0.474 0.686
O 0.401 0.750 0.132
O 0.457 0.250 0.511
O 0.543 0.750 0.489
O 0.599 0.250 0.868
O 0.852 0.526 0.314
O 0.852 0.974 0.314
```

**Space-group type**: P2_1/m

| no. | DFT total energy (eV/atom) | N(E_F) (states/eV per atom) |
| --- | --- | --- |
| 1 | -6.39 | 0.224 |
| 2 | -5.87 | 0.675 |
| 3 | -5.85 | 0.000 |